# ZrAl2Cr2, relaxed, DFT GGA-PBEsol
data_ZrAl2Cr2
_cell_length_a 3.578
_cell_length_b 3.578
_cell_length_c 11.883
_cell_angle_alpha 90.00
_cell_angle_beta 90.00
_cell_angle_gamma 90.00
_symmetry_space_group_name_H-M 'P 1'
_symmetry_Int_Tables_number 1
loop_
_symmetry_equiv_pos_as_xyz
'x,y,z'
loop_
_atom_site_label
_atom_site_fract_x
_atom_site_fract_y
_atom_site_fract_z
Zr1 0.000 0.000 0.000
Zr2 0.500 0.500 0.500
Al1 0.000 0.000 0.395
Al2 0.000 0.000 0.605
Al3 0.500 0.500 0.105
Al4 0.500 0.500 0.895
Cr1 0.000 0.500 0.250
Cr2 0.000 0.500 0.750
Cr3 0.500 0.000 0.250
Cr4 0.500 0.000 0.750
# Formation enthalpy at 0 K ... 37 meV/atom

=====

# ZrAl2Cr, relaxed, DFT GGA-PBEsol
data_ZrAl2Cr
_cell_length_a 3.106
_cell_length_b 3.106
_cell_length_c 6.719
_cell_angle_alpha 90.00
_cell_angle_beta 90.00
_cell_angle_gamma 90.00
_symmetry_space_group_name_H-M 'P 1'
_symmetry_Int_Tables_number 1
loop_
_symmetry_equiv_pos_as_xyz
'x,y,z'
loop_
_atom_site_label
_atom_site_fract_x
_atom_site_fract_y
_atom_site_fract_z
Zr1 0.000 0.000 0.000
Al1 0.000 0.000 0.543
Al2 0.500 0.500 0.298
Cr1 0.500 0.500 0.738
# Formation enthalpy at 0 K ... -59 meV/atom

=====

# ZrAl2Cr, relaxed, DFT GGA-PBEsol
data_ZrAl2Cr
_cell_length_a 6.355
_cell_length_b 6.355
_cell_length_c 6.355
_cell_angle_alpha 90.00
_cell_angle_beta 90.00
_cell_angle_gamma 90.00
_symmetry_space_group_name_H-M 'P 1'
_symmetry_Int_Tables_number 1
loop_
_symmetry_equiv_pos_as_xyz
'x,y,z'
loop_
_atom_site_label
_atom_site_fract_x
_atom_site_fract_y
_atom_site_fract_z
Zr1 0.000 0.000 0.000
Zr2 0.000 0.500 0.500
Zr3 0.500 0.000 0.500
Zr4 0.500 0.500 0.000
Al1 0.250 0.250 0.250
Al2 0.250 0.250 0.750
Al3 0.250 0.750 0.250
Al4 0.250 0.750 0.750
Al5 0.750 0.250 0.250
Al6 0.750 0.250 0.750
Al7 0.750 0.750 0.250
Al8 0.750 0.750 0.750
Cr1 0.000 0.000 0.500
Cr2 0.000 0.500 0.000
Cr3 0.500 0.000 0.000
Cr4 0.500 0.500 0.500
# Formation enthalpy at 0 K ... -38 meV/atom

=====

# CsAlCuF6, relaxed, DFT GGA-PBEsol
data_CsAlCuF6
_cell_length_a 7.034
_cell_length_b 7.102
_cell_length_c 10.065
_cell_angle_alpha 90.00
_cell_angle_beta 90.00
_cell_angle_gamma 90.00
_symmetry_space_group_name_H-M 'P 1'
_symmetry_Int_Tables_number 1
loop_
_symmetry_equiv_pos_as_xyz
'x,y,z'
loop_
_atom_site_label
_atom_site_fract_x
_atom_site_fract_y
_atom_site_fract_z
Cs1 0.013 0.250 0.128
Cs2 0.487 0.750 0.628
Cs3 0.513 0.250 0.372
Cs4 0.987 0.750 0.872
Al1 0.000 0.000 0.500
Al2 0.000 0.500 0.500
Al3 0.500 0.000 0.000
Al4 0.500 0.500 0.000
Cu1 0.220 0.250 0.759
Cu2 0.280 0.750 0.259
Cu3 0.720 0.250 0.741
Cu4 0.780 0.750 0.241
F1 0.036 0.750 0.173
F2 0.037 0.250 0.460
F3 0.148 0.020 0.645
F4 0.148 0.480 0.645
F5 0.209 0.553 0.403
F6 0.209 0.947 0.403
F7 0.291 0.053 0.903
F8 0.291 0.447 0.903
F9 0.352 0.520 0.145
F10 0.352 0.980 0.145
F11 0.463 0.750 0.960
F12 0.464 0.250 0.673
F13 0.536 0.750 0.327
F14 0.537 0.250 0.040
F15 0.648 0.020 0.855
F16 0.648 0.480 0.855
F17 0.709 0.553 0.097
F18 0.709 0.947 0.097
F19 0.791 0.053 0.597
F20 0.791 0.447 0.597
F21 0.852 0.520 0.355
F22 0.852 0.980 0.355
F23 0.963 0.750 0.540
F24 0.964 0.250 0.827
# Energy relative to the elements, uncorrected ... -2.773 eV per atom

=====

# CsAlCuF6, relaxed, DFT GGA-PBEsol
data_CsAlCuF6
_cell_length_a 7.133
_cell_length_b 7.133
_cell_length_c 7.133
_cell_angle_alpha 120.31
_cell_angle_beta 120.27
_cell_angle_gamma 89.50
_symmetry_space_group_name_H-M 'P 1'
_symmetry_Int_Tables_number 1
loop_
_symmetry_equiv_pos_as_xyz
'x,y,z'
loop_
_atom_site_label
_atom_site_fract_x
_atom_site_fract_y
_atom_site_fract_z
Cs1 0.371 0.121 0.250
Cs2 0.629 0.879 0.750
Al1 0.000 0.000 0.500
Al2 0.000 0.500 0.000
Cu1 0.000 0.500 0.500
Cu2 0.500 0.500 0.000
F1 0.046 0.796 0.250
F2 0.060 0.416 0.219
F3 0.060 0.841 0.643
F4 0.302 0.159 0.719
F5 0.302 0.584 0.143
F6 0.326 0.576 0.750
F7 0.674 0.424 0.250
F8 0.698 0.416 0.857
F9 0.698 0.841 0.281
F10 0.940 0.159 0.357
F11 0.940 0.584 0.781
F12 0.954 0.204 0.750
# Energy relative to the elements, uncorrected ... -2.772 eV per atom

=====

# CsAlF4, relaxed, DFT GGA-PBEsol
data_CsAlF4
_cell_length_a 9.398
_cell_length_b 9.398
_cell_length_c 3.714
_cell_angle_alpha 90.00
_cell_angle_beta 90.00
_cell_angle_gamma 120.00
_symmetry_space_group_name_H-M 'P 1'
_symmetry_Int_Tables_number 1
loop_
_symmetry_equiv_pos_as_xyz
'x,y,z'
loop_
_atom_site_label
_atom_site_fract_x
_atom_site_fract_y
_atom_site_fract_z
Cs1 0.000 0.431 0.000
Cs2 0.431 0.000 0.000
Cs3 0.569 0.569 0.000
Al1 0.000 0.780 0.500
Al2 0.220 0.220 0.500
Al3 0.780 0.000 0.500
F1 0.000 0.157 0.500
F2 0.000 0.789 0.000
F3 0.157 0.000 0.500
F4 0.159 0.733 0.500
F5 0.211 0.211 0.000
F6 0.267 0.426 0.500
F7 0.426 0.267 0.500
F8 0.574 0.841 0.500
F9 0.733 0.159 0.500
F10 0.789 0.000 0.000
F11 0.841 0.574 0.500
F12 0.843 0.843 0.500
# Energy relative to the elements, uncorrected ... -3.393 eV per atom

=====

# CsAlF4, relaxed, DFT GGA-PBEsol
data_CsAlF4
_cell_length_a 10.563
_cell_length_b 6.738
_cell_length_c 17.475
_cell_angle_alpha 90.00
_cell_angle_beta 90.00
_cell_angle_gamma 90.00
_symmetry_space_group_name_H-M 'P 1'
_symmetry_Int_Tables_number 1
loop_
_symmetry_equiv_pos_as_xyz
'x,y,z'
loop_
_atom_site_label
_atom_site_fract_x
_atom_site_fract_y
_atom_site_fract_z
Cs1 0.072 0.250 0.225
Cs2 0.118 0.750 0.544
Cs3 0.193 0.250 0.818
Cs4 0.307 0.750 0.318
Cs5 0.382 0.250 0.044
Cs6 0.428 0.750 0.725
Cs7 0.572 0.250 0.275
Cs8 0.618 0.750 0.956
Cs9 0.693 0.250 0.682
Cs10 0.807 0.750 0.182
Cs11 0.882 0.250 0.456
Cs12 0.928 0.750 0.775
Al1 0.000 0.000 0.000
Al2 0.000 0.500 0.000
Al3 0.200 0.750 0.128
Al4 0.237 0.250 0.424
Al5 0.263 0.750 0.924
Al6 0.300 0.250 0.628
Al7 0.500 0.000 0.500
Al8 0.500 0.500 0.500
Al9 0.700 0.750 0.372
Al10 0.737 0.250 0.076
Al11 0.763 0.750 0.576
Al12 0.800 0.250 0.872
F1 0.062 0.250 0.007
F2 0.087 0.561 0.085
F3 0.087 0.939 0.085
F4 0.098 0.750 0.209
F5 0.128 0.054 0.415
F6 0.128 0.446 0.415
F7 0.134 0.561 0.942
F8 0.134 0.939 0.942
F9 0.208 0.051 0.661
F10 0.208 0.449 0.661
F11 0.214 0.750 0.827
F12 0.220 0.250 0.532
F13 0.280 0.750 0.032
F14 0.286 0.250 0.327
F15 0.292 0.551 0.161
F16 0.292 0.949 0.161
F17 0.366 0.061 0.442
F18 0.366 0.439 0.442
F19 0.372 0.554 0.915
F20 0.372 0.946 0.915
F21 0.402 0.250 0.709
F22 0.413 0.061 0.585
F23 0.413 0.439 0.585
F24 0.438 0.750 0.507
F25 0.562 0.250 0.493
F26 0.587 0.561 0.415
F27 0.587 0.939 0.415
F28 0.598 0.750 0.291
F29 0.628 0.054 0.085
F30 0.628 0.446 0.085
F31 0.634 0.561 0.558
F32 0.634 0.939 0.558
F33 0.708 0.051 0.839
F34 0.708 0.449 0.839
F35 0.714 0.750 0.673
F36 0.720 0.250 0.968
F37 0.780 0.750 0.468
F38 0.786 0.250 0.173
F39 0.792 0.551 0.339
F40 0.792 0.949 0.339
F41 0.866 0.061 0.058
F42 0.866 0.439 0.058
F43 0.872 0.554 0.585
F44 0.872 0.946 0.585
F45 0.902 0.250 0.791
F46 0.913 0.061 0.915
F47 0.913 0.439 0.915
F48 0.938 0.750 0.993
# Energy relative to the elements, uncorrected ... -3.389 eV per atom

=====

# Cs2AlInF6, relaxed, DFT GGA-PBEsol
data_Cs2AlInF6
_cell_length_a 6.328
_cell_length_b 6.328
_cell_length_c 6.328
_cell_angle_alpha 60.00
_cell_angle_beta 60.00
_cell_angle_gamma 60.00
_symmetry_space_group_name_H-M 'P 1'
_symmetry_Int_Tables_number 1
loop_
_symmetry_equiv_pos_as_xyz
'x,y,z'
loop_
_atom_site_label
_atom_site_fract_x
_atom_site_fract_y
_atom_site_fract_z
Cs1 0.250 0.250 0.250
Cs2 0.750 0.750 0.750
Al1 0.000 0.000 0.000
In1 0.500 0.500 0.500
F1 0.205 0.205 0.795
F2 0.205 0.795 0.205
F3 0.205 0.795 0.795
F4 0.795 0.205 0.205
F5 0.795 0.205 0.795
F6 0.795 0.795 0.205
# Energy relative to the elements, uncorrected ... -2.931 eV per atom

=====

| no. | DOS at the Fermi energy (states/eV per cell) |
| --- | --- |
| 1 | 6.021 |
| 2 | 2.095 |
| 3 | 10.758 |
| 4 | 18.968 |
| 5 | 9.707 |
| 6 | 0.000 |
| 7 | 0.000 |
| 8 | 0.000 |